one:
Below is a relaxed structure of PaCu2Se4, with properties calculated at the PBE level.

a b c (Å): 7.759 7.759 10.892
angles (deg): 90.00 90.00 90.00
Positions (direct):
Se 0.726 0.484 0.481
Se 0.274 0.484 0.519
Se 0.726 0.516 0.019
Se 0.756 0.982 0.505
Se 0.274 0.516 0.981
Se 0.982 0.244 0.255
Se 0.244 0.982 0.495
Se 0.018 0.756 0.755
Se 0.756 0.018 0.995
Se 0.484 0.726 0.269
Se 0.516 0.274 0.769
Se 0.982 0.756 0.245
Se 0.484 0.274 0.231
Se 0.516 0.726 0.731
Se 0.018 0.244 0.745
Se 0.244 0.018 0.005
Pa 0.294 0.000 0.750
Pa 0.000 0.706 0.500
Pa 0.000 0.294 0.000
Pa 0.706 0.000 0.250
Cu 0.250 0.250 0.375
Cu 0.250 0.750 0.125
Cu 0.750 0.750 0.875
Cu 0.500 0.241 0.000
Cu 0.759 0.500 0.250
Cu 0.750 0.250 0.625
Cu 0.241 0.500 0.750
Cu 0.500 0.759 0.500

Its crystal system is tetragonal.

---

two:
Below is a relaxed structure of PaCu2Se4, with properties calculated at the PBE level.

a b c (Å): 7.634 7.634 7.634
angles (deg): 117.72 109.33 101.77
Positions (direct):
Pa 0.117 0.117 0.000
Pa 0.133 0.633 0.500
Se 0.815 0.134 0.682
Se 0.923 0.661 0.738
Se 0.328 0.566 0.239
Se 0.798 0.617 0.182
Se 0.452 0.133 0.318
Se 0.923 0.184 0.262
Se 0.435 0.617 0.818
Se 0.327 0.089 0.761
Cu 0.125 0.374 0.749
Cu 0.625 0.376 0.250
Cu 0.625 0.375 0.750
Cu 0.625 0.875 0.250

Its crystal system is orthorhombic.

---

Most stable structure: one

---

one:
Below is a relaxed structure of Pa2CuSi2, with properties calculated at the PBE level.

a b c (Å): 4.031 5.622 9.269
angles (deg): 86.74 77.44 68.99
Positions (direct):
Cu 0.455 0.787 0.304
Cu 0.545 0.213 0.696
Si 0.973 0.650 0.405
Si 0.027 0.350 0.595
Si 0.612 0.898 0.877
Si 0.388 0.102 0.123
Pa 0.284 0.784 0.648
Pa 0.860 0.349 0.930
Pa 0.716 0.216 0.352
Pa 0.140 0.651 0.070

Its crystal system is monoclinic.

---

two:
Below is a relaxed structure of Pa2CuSi2, with properties calculated at the PBE level.

a b c (Å): 4.364 6.264 7.798
angles (deg): 90.00 106.25 90.00
Positions (direct):
Pa 0.009 0.214 0.019
Pa 0.991 0.714 0.981
Pa 0.197 0.941 0.394
Pa 0.803 0.441 0.606
Si 0.430 0.451 0.861
Si 0.829 0.966 0.658
Si 0.570 0.951 0.139
Si 0.171 0.466 0.342
Cu 0.395 0.062 0.790
Cu 0.605 0.562 0.210

Its crystal system is orthorhombic.

---

Most stable structure: one

---

one:
Below is a relaxed structure of SmPaCu, with properties calculated at the PBE level.

a b c (Å): 3.334 3.334 6.804
angles (deg): 104.18 104.18 90.00
Positions (direct):
Pa 0.312 0.312 0.623
Sm 0.017 0.017 0.035
Cu 0.671 0.671 0.342

Its crystal system is tetragonal.

---

two:
Below is a relaxed structure of SmPaCu, with properties calculated at the PBE level.

a b c (Å): 3.397 5.664 8.272
angles (deg): 100.24 90.00 107.45
Positions (direct):
Sm 0.886 0.773 0.165
Sm 0.114 0.227 0.835
Pa 0.615 0.230 0.452
Pa 0.385 0.770 0.548
Cu 0.172 0.344 0.201
Cu 0.828 0.656 0.799

Its crystal system is monoclinic.

---

Most stable structure: two

---

one:
Below is a relaxed structure of PaCuTc, with properties calculated at the PBE level.

a b c (Å): 3.542 3.542 8.871
angles (deg): 90.00 90.00 90.00
Positions (direct):
Cu 0.500 0.000 0.062
Cu 0.000 0.500 0.938
Pa 0.500 0.000 0.732
Pa 0.000 0.500 0.268
Tc 0.000 0.500 0.612
Tc 0.500 0.000 0.388

Its crystal system is tetragonal.

---

two:
Below is a relaxed structure of PaCuTc, with properties calculated at the PBE level.

a b c (Å): 3.043 4.495 4.495
angles (deg): 120.00 90.00 90.00
Positions (direct):
Tc 0.645 0.333 0.667
Pa 0.946 0.000 0.000
Cu 0.409 0.667 0.333

Its crystal system is trigonal.

---

Most stable structure: one

---

one:
Below is a relaxed structure of PaCuTe2, with properties calculated at the PBE level.

a b c (Å): 4.158 4.158 9.166
angles (deg): 76.89 76.89 60.00
Positions (direct):
Pa 0.500 0.500 0.500
Te 0.907 0.907 0.278
Te 0.093 0.093 0.722
Cu 0.000 0.000 0.000

Its crystal system is trigonal.

---

two:
Below is a relaxed structure of PaCuTe2, with properties calculated at the PBE level.

a b c (Å): 4.154 7.413 5.895
angles (deg): 130.60 110.63 89.97
Positions (direct):
Pa 0.595 0.830 0.189
Te 0.823 0.678 0.645
Te 0.336 0.241 0.672
Cu 0.247 0.787 0.494

Its crystal system is monoclinic.

---

Most stable structure: two

---

one:
Below is a relaxed structure of ThPaCu, with properties calculated at the PBE level.

a b c (Å): 3.432 3.432 11.965
angles (deg): 90.00 90.00 90.00
Positions (direct):
Th 0.500 0.000 0.795
Th 0.000 0.500 0.205
Pa 0.500 0.000 0.409
Pa 0.000 0.500 0.591
Cu 0.500 0.000 0.046
Cu 0.000 0.500 0.954

Its crystal system is tetragonal.

---

two:
Below is a relaxed structure of ThPaCu, with properties calculated at the PBE level.

a b c (Å): 3.397 4.870 4.870
angles (deg): 120.00 90.00 90.00
Positions (direct):
Pa 0.041 0.000 0.000
Th 0.652 0.667 0.333
Cu 0.307 0.333 0.667

Its crystal system is trigonal.

---

three:
Below is a relaxed structure of ThPaCu, with properties calculated at the PBE level.

a b c (Å): 3.284 3.284 7.026
angles (deg): 103.52 103.52 90.00
Positions (direct):
Th 0.014 0.014 0.029
Pa 0.314 0.314 0.628
Cu 0.672 0.672 0.344

Its crystal system is tetragonal.

---

Most stable structure: one

---

one:
Below is a relaxed structure of PaTiCu, with properties calculated at the PBE level.

a b c (Å): 3.048 4.642 4.642
angles (deg): 120.00 90.00 90.00
Positions (direct):
Ti 0.196 0.000 0.000
Pa 0.672 0.667 0.333
Cu 0.131 0.333 0.667

Its crystal system is trigonal.

---

two:
Below is a relaxed structure of PaTiCu, with properties calculated at the PBE level.

a b c (Å): 5.278 6.834 6.834
angles (deg): 90.00 90.00 90.00
Positions (direct):
Cu 0.000 0.500 0.176
Cu 0.000 0.500 0.824
Cu 0.500 0.176 0.500
Cu 0.500 0.824 0.500
Pa 0.000 0.779 0.500
Pa 0.500 0.500 0.779
Pa 0.000 0.221 0.500
Pa 0.500 0.500 0.221
Ti 0.500 0.000 0.174
Ti 0.000 0.174 0.000
Ti 0.000 0.826 0.000
Ti 0.500 0.000 0.826

Its crystal system is tetragonal.

---

Most stable structure: one

---

one:
Below is a relaxed structure of PaTi2Cu, with properties calculated at the PBE level.

a b c (Å): 3.104 4.753 4.753
angles (deg): 90.00 90.00 90.00
Positions (direct):
Ti 0.000 0.000 0.500
Ti 0.000 0.500 0.000
Pa 0.500 0.000 0.000
Cu 0.500 0.500 0.500

Its crystal system is tetragonal.

---

two:
Below is a relaxed structure of PaTi2Cu, with properties calculated at the PBE level.

a b c (Å): 2.921 2.921 9.943
angles (deg): 81.55 81.55 60.00
Positions (direct):
Pa 0.000 0.000 0.000
Ti 0.095 0.095 0.715
Ti 0.905 0.905 0.285
Cu 0.500 0.500 0.500

Its crystal system is trigonal.

---

Most stable structure: one

---

one:
Below is a relaxed structure of Pa2TlCu, with properties calculated at the PBE level.

a b c (Å): 3.182 3.182 10.610
angles (deg): 81.38 81.38 60.00
Positions (direct):
Tl 0.500 0.500 0.500
Pa 0.741 0.741 0.777
Pa 0.259 0.259 0.223
Cu 0.000 0.000 0.000

Its crystal system is trigonal.

---

two:
Below is a relaxed structure of Pa2TlCu, with properties calculated at the PBE level.

a b c (Å): 3.160 3.160 9.020
angles (deg): 90.00 90.00 90.00
Positions (direct):
Pa 0.000 0.000 0.217
Pa 0.000 0.000 0.783
Tl 0.500 0.500 0.500
Cu 0.500 0.500 0.000

Its crystal system is tetragonal.

---

Most stable structure: two

---

one:
Below is a relaxed structure of TmPaCu, with properties calculated at the PBE level.

a b c (Å): 3.260 3.260 6.716
angles (deg): 104.05 104.05 90.00
Positions (direct):
Pa 0.316 0.316 0.632
Cu 0.664 0.664 0.328
Tm 0.020 0.020 0.040

Its crystal system is tetragonal.

---

two:
Below is a relaxed structure of TmPaCu, with properties calculated at the PBE level.

a b c (Å): 3.256 5.096 8.200
angles (deg): 90.00 101.45 90.00
Positions (direct):
Cu 0.581 0.750 0.161
Cu 0.419 0.250 0.839
Tm 0.925 0.750 0.850
Tm 0.075 0.250 0.150
Pa 0.768 0.250 0.535
Pa 0.232 0.750 0.465

Its crystal system is orthorhombic.

---

Most stable structure: two

---

one:
Below is a relaxed structure of Pa2ZnCu, with properties calculated at the PBE level.

a b c (Å): 3.047 3.047 11.088
angles (deg): 82.10 82.10 60.00
Positions (direct):
Pa 0.094 0.094 0.719
Pa 0.906 0.906 0.281
Zn 0.000 0.000 0.000
Cu 0.500 0.500 0.500

Its crystal system is trigonal.

---

two:
Below is a relaxed structure of Pa2ZnCu, with properties calculated at the PBE level.

a b c (Å): 3.030 3.030 8.648
angles (deg): 90.00 90.00 90.00
Positions (direct):
Cu 0.500 0.500 0.000
Pa 0.000 0.000 0.759
Pa 0.000 0.000 0.241
Zn 0.500 0.500 0.500

Its crystal system is tetragonal.

---

three:
Below is a relaxed structure of Pa2ZnCu, with properties calculated at the PBE level.

a b c (Å): 4.326 4.289 4.289
angles (deg): 90.00 90.00 90.00
Positions (direct):
Zn 0.500 0.000 0.000
Pa 0.000 0.500 0.000
Pa 0.000 0.000 0.500
Cu 0.500 0.500 0.500

Its crystal system is tetragonal.

---

Most stable structure: two

---

one:
Below is a relaxed structure of PaZn2Cu3, with properties calculated at the PBE level.

a b c (Å): 4.264 4.264 12.207
angles (deg): 90.00 90.00 120.00
Positions (direct):
Pa 0.000 0.000 0.750
Pa 0.000 0.000 0.250
Zn 0.333 0.667 0.577
Zn 0.667 0.333 0.077
Zn 0.333 0.667 0.923
Zn 0.667 0.333 0.423
Cu 0.667 0.333 0.867
Cu 0.000 0.000 0.000
Cu 0.333 0.667 0.367
Cu 0.667 0.333 0.633
Cu 0.333 0.667 0.133
Cu 0.000 0.000 0.500

Its crystal system is hexagonal.

---

two:
Below is a relaxed structure of PaZn2Cu3, with properties calculated at the PBE level.

a b c (Å): 5.219 5.219 8.068
angles (deg): 90.00 90.00 120.00
Positions (direct):
Cu 0.497 0.000 0.250
Cu 0.503 0.000 0.750
Cu 0.000 0.497 0.250
Cu 0.497 0.497 0.750
Cu 0.000 0.503 0.750
Cu 0.503 0.503 0.250
Pa 0.000 0.000 0.500
Pa 0.000 0.000 0.000
Zn 0.667 0.333 0.000
Zn 0.667 0.333 0.500
Zn 0.333 0.667 0.500
Zn 0.333 0.667 0.000

Its crystal system is hexagonal.

---

Most stable structure: one